LaHgAu2 (GGA-PBE, optimized geometry); V = 24.065 Å³/atom; E = -3.402 eV per atom; N(E_F) = 2.1 states/eV/cell
1.0
3.803 0.000 0.000
0.000 3.813 0.000
0.000 0.000 6.639
La Hg Au
1 1 2
direct
0.000 0.000 0.000
0.500 0.500 0.312
0.000 0.000 0.525
0.500 0.500 0.757